No. 1
First-principles (PBEsol) data for a relaxed KZn2Sb crystal, as listed in Alexandria.

Lattice parameters (Å, degrees): 3.7016 4.7869 5.5473 90.00 90.00 90.00
With the nearest neighbours (Å) after each atom.
Positions (direct):
K (0.0000, 0.0000, 0.0000)  4 Zn 3.03, 4 Sb 3.33
Zn (0.0000, 0.5000, 0.5000)  4 Sb 3.03, 4 Zn 3.33
Zn (0.5000, 0.5000, 0.0000)  4 K 3.03, 4 Zn 3.33
Sb (0.5000, 0.0000, 0.5000)  4 Zn 3.03, 4 K 3.33

Space group: No. 47
D(E_F) in states/eV per cell: 1.609


No. 2
First-principles (PBEsol) data for a relaxed KZnSb crystal, as listed in Alexandria.

Lattice parameters (Å, degrees): 4.4981 4.4981 10.4197 90.00 90.00 120.00
With the nearest neighbours (Å) after each atom.
Positions (direct):
K (0.0000, 0.0000, 0.0000)  6 Sb 3.68, 6 Zn 3.68
K (0.0000, 0.0000, 0.5000)  6 Sb 3.68, 6 Zn 3.68
Zn (0.3333, 0.6667, 0.2500)  3 Sb 2.60
Zn (0.6667, 0.3333, 0.7500)  3 Sb 2.60
Sb (0.3333, 0.6667, 0.7500)  3 Zn 2.60
Sb (0.6667, 0.3333, 0.2500)  3 Zn 2.60

Space group: No. 194


No. 3
First-principles (PBEsol) data for a relaxed KZn2Sb crystal, as listed in Alexandria.

Lattice parameters (Å, degrees): 4.6297 4.6297 4.3353 90.00 90.00 90.00
With the nearest neighbours (Å) after each atom.
Positions (direct):
K (0.0000, 0.0000, 0.0000)  8 Zn 3.17, 4 Sb 3.27
Zn (0.0000, 0.5000, 0.5000)  4 K 3.17, 4 Sb 3.17, 4 Zn 3.27
Zn (0.5000, 0.0000, 0.5000)  4 K 3.17, 4 Sb 3.17, 4 Zn 3.27
Sb (0.5000, 0.5000, 0.0000)  8 Zn 3.17, 4 K 3.27

Space group: No. 123
D(E_F) in states/eV per cell: 1.740


No. 4
First-principles (PBEsol) data for a relaxed KZnSb crystal, as listed in Alexandria.

Lattice parameters (Å, degrees): 4.4853 4.4853 5.2925 90.00 90.00 120.00
With the nearest neighbours (Å) after each atom.
Positions (direct):
K (0.0000, 0.0000, 0.0000)  6 Sb 3.70, 6 Zn 3.70
Zn (0.6667, 0.3333, 0.5000)  3 Sb 2.59
Sb (0.3333, 0.6667, 0.5000)  3 Zn 2.59

Space group: No. 187


No. 5
First-principles (PBEsol) data for a relaxed KZnSb crystal, as listed in Alexandria.

Lattice parameters (Å, degrees): 6.6199 6.6199 6.6199 145.75 145.56 49.36
With the nearest neighbours (Å) after each atom.
Positions (direct):
K (0.0000, 0.0000, 0.0000)  1 Zn 3.10, 1 Sb 3.37
Zn (0.2575, 0.2575, 0.0000)  4 Sb 2.80, 1 K 3.10
Sb (0.7201, 0.7201, 0.0000)  4 Zn 2.80

Space group: No. 44
D(E_F) in states/eV per cell: 1.118


No. 6
First-principles (PBEsol) data for a relaxed KZn2Sb2 crystal, as listed in Alexandria.

Lattice parameters (Å, degrees): 6.6088 6.6088 6.6088 138.58 138.58 60.02
With the nearest neighbours (Å) after each atom.
Positions (direct):
K (0.0000, 0.0000, 0.0000)  8 Zn 3.52, 8 Sb 3.69
Zn (0.3944, 0.3944, 0.0000)  1 Zn 2.42
Zn (0.6056, 0.6056, 0.0000)  1 Zn 2.42
Sb (0.2500, 0.7500, 0.5000)  4 Zn 2.86
Sb (0.7500, 0.2500, 0.5000)  4 Zn 2.86

Space group: No. 139
D(E_F) in states/eV per cell: 1.204


No. 7
First-principles (PBEsol) data for a relaxed KZn2Sb crystal, as listed in Alexandria.

Lattice parameters (Å, degrees): 3.7996 3.7996 7.0223 90.00 90.00 90.00
With the nearest neighbours (Å) after each atom.
Positions (direct):
K (0.0000, 0.0000, 0.0000)  8 Zn 3.49, 2 Sb 3.51, 4 K 3.80
Zn (0.5000, 0.5000, 0.3164)  1 Zn 2.58
Zn (0.5000, 0.5000, 0.6836)  1 Zn 2.58
Sb (0.0000, 0.0000, 0.5000)  8 Zn 2.98

Space group: No. 123
D(E_F) in states/eV per cell: 2.164


No. 8
First-principles (PBEsol) data for a relaxed K2ZrSb crystal, as listed in Alexandria.

Lattice parameters (Å, degrees): 4.9051 4.9051 9.2314 104.91 104.91 59.71
With the nearest neighbours (Å) after each atom.
Positions (direct):
K (0.0000, 0.0000, 0.0000)  3 Sb 3.78-3.80, 3 Zr 3.79
K (0.1844, 0.1844, 0.5722)  3 Zr 3.79, 3 Sb 3.79-3.81
Zr (0.7595, 0.7595, 0.2864)  3 Sb 2.83
Sb (0.4266, 0.4266, 0.2852)  3 Zr 2.83

Space group: No. 8
D(E_F) in states/eV per cell: 4.695


| no. | uncorrected formation energy (eV/atom) |
| --- | --- |
| 1 | 0.26 |
| 2 | -0.37 |
| 3 | 0.21 |
| 4 | -0.36 |
| 5 | -0.07 |
| 6 | -0.15 |
| 7 | 0.14 |
| 8 | 0.12 |